#w
First-principles (GGA-PBE) data for crystalline NaAsPb3 at its relaxed geometry, as listed in Alexandria via LeMat-Bulk.

Spin magnetization: 0.0 μB per formula unit

Cell: 5.698 5.698 5.698 Å, 90.00 90.00 90.00°
Sites, in units of the cell vectors:
Na1 0.500 0.500 0.500
Pb1 0.500 0.000 0.000
Pb2 0.000 0.000 0.500
Pb3 0.000 0.500 0.000
As1 0.000 0.000 0.000

***

#x
First-principles (GGA-PBE) data for crystalline NaAsPb3 at its relaxed geometry, as listed in Alexandria via LeMat-Bulk.

Spin magnetization: 0.0 μB per formula unit

Cell: 5.462 5.462 5.462 Å, 90.00 90.00 90.00°
Sites, in units of the cell vectors:
Pb1 0.000 0.500 0.000
Pb2 0.000 0.000 0.500
Pb3 0.500 0.000 0.000
Na1 0.000 0.000 0.000
As1 0.500 0.500 0.500

***

Best to worst by energy: #w, #x.

***

#w
First-principles (GGA-PBE) data for crystalline Na2AsPb2 at its relaxed geometry, as listed in Alexandria via LeMat-Bulk.

Spin magnetization: 0.0 μB per formula unit

Cell: 7.322 7.322 5.047 Å, 90.00 90.00 90.00°
Sites, in units of the cell vectors:
Na1 0.143 0.357 0.000
Na2 0.357 0.857 0.000
Na3 0.857 0.643 0.000
Na4 0.643 0.143 0.000
Pb1 0.173 0.673 0.500
Pb2 0.327 0.173 0.500
Pb3 0.827 0.327 0.500
Pb4 0.673 0.827 0.500
As1 0.000 0.000 0.000
As2 0.500 0.500 0.000

***

#x
First-principles (GGA-PBE) data for crystalline Na2AsPb2 at its relaxed geometry, as listed in Alexandria via LeMat-Bulk.

Spin magnetization: 0.0 μB per formula unit

Cell: 7.691 7.691 5.098 Å, 90.00 90.00 90.00°
Sites, in units of the cell vectors:
Pb1 0.645 0.145 0.000
Pb2 0.145 0.355 0.000
Pb3 0.355 0.855 0.000
Pb4 0.855 0.645 0.000
Na1 0.667 0.833 0.500
Na2 0.167 0.667 0.500
Na3 0.833 0.333 0.500
Na4 0.333 0.167 0.500
As1 0.500 0.500 0.000
As2 0.000 0.000 0.000

***

Best to worst by energy: #x, #w.

***

#w
First-principles (GGA-PBE) data for crystalline NaAsPbSe2 at its relaxed geometry, as listed in Alexandria via LeMat-Bulk.

Spin magnetization: 1.6 μB per formula unit

Cell: 5.660 5.660 5.519 Å, 90.00 90.00 90.00°
Sites, in units of the cell vectors:
Se1 0.000 0.500 0.000
Se2 0.500 0.000 0.000
Na1 0.500 0.500 0.500
Pb1 0.000 0.000 0.000
As1 0.000 0.000 0.500

***

#x
First-principles (GGA-PBE) data for crystalline NaAsPbSe2 at its relaxed geometry, as listed in Alexandria via LeMat-Bulk.

Spin magnetization: 0.0 μB per formula unit

Cell: 5.267 5.267 4.933 Å, 90.00 90.00 90.00°
Sites, in units of the cell vectors:
Na1 0.000 0.000 0.000
As1 0.000 0.000 0.500
Se1 0.000 0.500 0.000
Se2 0.500 0.000 0.000
Pb1 0.500 0.500 0.500

***

Best to worst by energy: #w, #x.

***

#w
First-principles (GGA-PBE) data for crystalline NaAs2PbSe at its relaxed geometry, as listed in Alexandria via LeMat-Bulk.

Spin magnetization: 2.2 μB per formula unit

Cell: 5.619 5.619 5.776 Å, 90.00 90.00 90.00°
Sites, in units of the cell vectors:
Na1 0.500 0.500 0.500
As1 0.500 0.000 0.000
As2 0.000 0.500 0.000
Se1 0.000 0.000 0.500
Pb1 0.000 0.000 0.000

***

#x
First-principles (GGA-PBE) data for crystalline NaAs2PbSe at its relaxed geometry, as listed in Alexandria via LeMat-Bulk.

Spin magnetization: 0.7 μB per formula unit

Cell: 5.060 5.060 5.285 Å, 90.00 90.00 90.00°
Sites, in units of the cell vectors:
Se1 0.000 0.000 0.500
As1 0.500 0.000 0.000
As2 0.000 0.500 0.000
Pb1 0.500 0.500 0.500
Na1 0.000 0.000 0.000

***

Best to worst by energy: #w, #x.